Crystalline BaBePtPb at its relaxed geometry. Source: OQMD, functional PBE-GGA.

## Properties
As for the density: 9.20 Mg/m³. For the raw total energy, the calculation gives -3.540 eV per atom. The crystal system is cubic. The excess energy over the best structure of this formula in the dataset comes out at 162 meV/atom. The value obtained for the spin magnetization is 0.00 μB/atom.

Geometry as CIF:
```
data_BaBePtPb
_chemical_formula_sum 'Ba4 Be4 Pt4 Pb4'
_symmetry_space_group_name_H-M 'F -4 3 m'
_symmetry_Int_Tables_number 216
_symmetry_space_group_name_Hall 'F -4 2 3'
_cell_length_a 7.344
_cell_length_b 7.344
_cell_length_c 7.344
_cell_angle_alpha 90.00
_cell_angle_beta 90.00
_cell_angle_gamma 90.00
loop_
_atom_site_label
_atom_site_type_symbol
_atom_site_fract_x
_atom_site_fract_y
_atom_site_fract_z
_atom_site_occupancy
Ba1 Ba 0.000 0.000 0.000 1
Be1 Be 0.000 0.000 0.500 1
Pt1 Pt 0.250 0.250 0.750 1
Pb1 Pb 0.250 0.250 0.250 1
```



Crystalline BaBePd at its relaxed geometry. Source: OQMD, functional PBE-GGA.

## Properties
As for the density: 4.41 Mg/m³. For the raw total energy, the calculation gives -2.780 eV per atom. The crystal system is cubic. The excess energy over the best structure of this formula in the dataset comes out at 491 meV/atom.

Geometry as CIF:
```
data_BaBePd
_chemical_formula_sum 'Ba4 Be4 Pd4'
_symmetry_space_group_name_H-M 'F -4 3 m'
_symmetry_Int_Tables_number 216
_symmetry_space_group_name_Hall 'F -4 2 3'
_cell_length_a 7.246
_cell_length_b 7.246
_cell_length_c 7.246
_cell_angle_alpha 90.00
_cell_angle_beta 90.00
_cell_angle_gamma 90.00
loop_
_atom_site_label
_atom_site_type_symbol
_atom_site_fract_x
_atom_site_fract_y
_atom_site_fract_z
_atom_site_occupancy
Ba1 Ba 0.000 0.000 0.000 1
Be1 Be 0.250 0.250 0.750 1
Pd1 Pd 0.250 0.250 0.250 1
```



Crystalline BaBePd at its relaxed geometry. Source: OQMD, functional PBE-GGA.

## Properties
As for the density: 5.40 Mg/m³. For the raw total energy, the calculation gives -3.271 eV per atom. The crystal system is cubic. The excess energy over the best structure of this formula in the dataset comes out at 0 meV/atom.

Geometry as CIF:
```
data_BaBePd
_chemical_formula_sum 'Ba4 Be4 Pd4'
_symmetry_space_group_name_H-M 'F -4 3 m'
_symmetry_Int_Tables_number 216
_symmetry_space_group_name_Hall 'F -4 2 3'
_cell_length_a 6.775
_cell_length_b 6.775
_cell_length_c 6.775
_cell_angle_alpha 90.00
_cell_angle_beta 90.00
_cell_angle_gamma 90.00
loop_
_atom_site_label
_atom_site_type_symbol
_atom_site_fract_x
_atom_site_fract_y
_atom_site_fract_z
_atom_site_occupancy
Ba1 Ba 0.000 0.000 0.000 1
Be1 Be 0.250 0.250 0.250 1
Pd1 Pd 0.000 0.000 0.500 1
```



Crystalline BaBeSnPd at its relaxed geometry. Source: OQMD, functional PBE-GGA.

## Properties
As for the density: 6.79 Mg/m³. For the raw total energy, the calculation gives -3.673 eV per atom. The crystal system is cubic. The excess energy over the best structure of this formula in the dataset comes out at 0 meV/atom.

Geometry as CIF:
```
data_BaBeSnPd
_chemical_formula_sum 'Ba4 Be4 Sn4 Pd4'
_symmetry_space_group_name_H-M 'F -4 3 m'
_symmetry_Int_Tables_number 216
_symmetry_space_group_name_Hall 'F -4 2 3'
_cell_length_a 7.137
_cell_length_b 7.137
_cell_length_c 7.137
_cell_angle_alpha 90.00
_cell_angle_beta 90.00
_cell_angle_gamma 90.00
loop_
_atom_site_label
_atom_site_type_symbol
_atom_site_fract_x
_atom_site_fract_y
_atom_site_fract_z
_atom_site_occupancy
Ba1 Ba 0.000 0.000 0.000 1
Be1 Be 0.250 0.250 0.750 1
Sn1 Sn 0.000 0.000 0.500 1
Pd1 Pd 0.250 0.250 0.250 1
```



Crystalline BaBeSnPd at its relaxed geometry. Source: OQMD, functional PBE-GGA.

## Properties
As for the density: 6.42 Mg/m³. For the raw total energy, the calculation gives -3.459 eV per atom. The crystal system is cubic. The excess energy over the best structure of this formula in the dataset comes out at 214 meV/atom.

Geometry as CIF:
```
data_BaBeSnPd
_chemical_formula_sum 'Ba4 Be4 Sn4 Pd4'
_symmetry_space_group_name_H-M 'F -4 3 m'
_symmetry_Int_Tables_number 216
_symmetry_space_group_name_Hall 'F -4 2 3'
_cell_length_a 7.269
_cell_length_b 7.269
_cell_length_c 7.269
_cell_angle_alpha 90.00
_cell_angle_beta 90.00
_cell_angle_gamma 90.00
loop_
_atom_site_label
_atom_site_type_symbol
_atom_site_fract_x
_atom_site_fract_y
_atom_site_fract_z
_atom_site_occupancy
Ba1 Ba 0.000 0.000 0.000 1
Be1 Be 0.000 0.000 0.500 1
Sn1 Sn 0.250 0.250 0.250 1
Pd1 Pd 0.250 0.250 0.750 1
```



Crystalline BaZrBePd at its relaxed geometry. Source: OQMD, functional PBE-GGA.

## Properties
As for the density: 7.04 Mg/m³. For the raw total energy, the calculation gives -4.450 eV per atom. The crystal system is cubic. The excess energy over the best structure of this formula in the dataset comes out at 17 meV/atom. The value obtained for the spin magnetization is 0.00 μB/atom.

Geometry as CIF:
```
data_BaZrBePd
_chemical_formula_sum 'Ba4 Zr4 Be4 Pd4'
_symmetry_space_group_name_H-M 'F -4 3 m'
_symmetry_Int_Tables_number 216
_symmetry_space_group_name_Hall 'F -4 2 3'
_cell_length_a 6.873
_cell_length_b 6.873
_cell_length_c 6.873
_cell_angle_alpha 90.00
_cell_angle_beta 90.00
_cell_angle_gamma 90.00
loop_
_atom_site_label
_atom_site_type_symbol
_atom_site_fract_x
_atom_site_fract_y
_atom_site_fract_z
_atom_site_occupancy
Ba1 Ba 0.000 0.000 0.000 1
Zr1 Zr 0.250 0.250 0.750 1
Be1 Be 0.250 0.250 0.250 1
Pd1 Pd 0.000 0.000 0.500 1
```



Crystalline BaZrBePd at its relaxed geometry. Source: OQMD, functional PBE-GGA.

## Properties
As for the density: 6.23 Mg/m³. For the raw total energy, the calculation gives -4.467 eV per atom. The crystal system is cubic. The excess energy over the best structure of this formula in the dataset comes out at 0 meV/atom. The value obtained for the spin magnetization is 0.01 μB/atom.

Geometry as CIF:
```
data_BaZrBePd
_chemical_formula_sum 'Ba4 Zr4 Be4 Pd4'
_symmetry_space_group_name_H-M 'F -4 3 m'
_symmetry_Int_Tables_number 216
_symmetry_space_group_name_Hall 'F -4 2 3'
_cell_length_a 7.157
_cell_length_b 7.157
_cell_length_c 7.157
_cell_angle_alpha 90.00
_cell_angle_beta 90.00
_cell_angle_gamma 90.00
loop_
_atom_site_label
_atom_site_type_symbol
_atom_site_fract_x
_atom_site_fract_y
_atom_site_fract_z
_atom_site_occupancy
Ba1 Ba 0.000 0.000 0.000 1
Zr1 Zr 0.000 0.000 0.500 1
Be1 Be 0.250 0.250 0.750 1
Pd1 Pd 0.250 0.250 0.250 1
```



Crystalline BaZrBePd at its relaxed geometry. Source: OQMD, functional PBE-GGA.

## Properties
As for the density: 6.97 Mg/m³. For the raw total energy, the calculation gives -4.348 eV per atom. The crystal system is cubic. The excess energy over the best structure of this formula in the dataset comes out at 119 meV/atom. The value obtained for the spin magnetization is 0.00 μB/atom.

Geometry as CIF:
```
data_BaZrBePd
_chemical_formula_sum 'Ba4 Zr4 Be4 Pd4'
_symmetry_space_group_name_H-M 'F -4 3 m'
_symmetry_Int_Tables_number 216
_symmetry_space_group_name_Hall 'F -4 2 3'
_cell_length_a 6.894
_cell_length_b 6.894
_cell_length_c 6.894
_cell_angle_alpha 90.00
_cell_angle_beta 90.00
_cell_angle_gamma 90.00
loop_
_atom_site_label
_atom_site_type_symbol
_atom_site_fract_x
_atom_site_fract_y
_atom_site_fract_z
_atom_site_occupancy
Ba1 Ba 0.000 0.000 0.000 1
Zr1 Zr 0.250 0.250 0.250 1
Be1 Be 0.000 0.000 0.500 1
Pd1 Pd 0.250 0.250 0.750 1
```